The following is a GGA-PBE calculation of a relaxed structure of BaTaGe2Au, from Alexandria.

Space-group type: P4/mmm, No. 123
Calculated formation energy in eV per atom: 1.08
Total DFT energy (no corrections) in eV per cell: -20.910

Cell: 5.046 5.818 5.046 Å, 90.00 90.00 90.00°
Last column: magnetic moment on the atom in μB.
Sites, in units of the cell vectors:
1 Ge 0.000 0.000 0.500  -0.07
2 Ge 0.500 0.000 0.000  -0.03
3 Ta 0.500 0.500 0.500  1.91
4 Au 0.000 0.000 0.000  -0.01
5 Ba 0.000 0.500 0.000  0.10

The following is a GGA-PBE calculation of a relaxed structure of BaGeTeAu2, from Alexandria.

Space-group type: P4/mmm, No. 123
Uncorrected formation energy in eV/atom: 0.731
Total DFT energy (no corrections) in eV per cell: -12.580

Cell: 5.836 6.615 5.836 Å, 90.00 90.00 90.00°
Sites, in units of the cell vectors:
1 Au 0.000 0.000 0.500
2 Au 0.500 0.000 0.000
3 Ge 0.500 0.500 0.500
4 Ba 0.000 0.000 0.000
5 Te 0.000 0.500 0.000

The following is a GGA-PBE calculation of a relaxed structure of BaThGe2Au2, from Alexandria.

Space-group type: P-3m1, No. 164
Calculated formation energy in eV per atom: -0.74
Total DFT energy (no corrections) in eV per cell: -29.586

Cell: 4.550 4.550 8.628 Å, 90.00 90.00 120.00°
Sites, in units of the cell vectors:
1 Ge 0.667 0.333 0.293
2 Ge 0.333 0.667 0.707
3 Th 0.000 0.000 0.500
4 Au 0.333 0.667 0.277
5 Au 0.667 0.333 0.723
6 Ba 0.000 0.000 0.000

The following is a GGA-PBE calculation of a relaxed structure of Ba2TlGe4Au3, from Alexandria.

Space-group type: P-4m2, No. 115
Calculated formation energy in eV per atom: -0.44
Total DFT energy (no corrections) in eV per cell: -38.899

Cell: 4.733 4.733 10.979 Å, 90.00 90.00 90.00°
Sites, in units of the cell vectors:
1 Au 0.500 0.000 0.882
2 Au 0.000 0.000 0.500
3 Au 0.000 0.500 0.118
4 Ba 0.500 0.000 0.243
5 Ba 0.000 0.500 0.757
6 Ge 0.000 0.000 0.000
7 Ge 0.500 0.500 0.000
8 Ge 0.500 0.000 0.644
9 Ge 0.000 0.500 0.356
10 Tl 0.500 0.500 0.500

The following is a GGA-PBE calculation of a relaxed structure of BaTmGe2Au2, from Alexandria.

Space-group type: P-3m1, No. 164
Calculated formation energy in eV per atom: -0.74
Total DFT energy (no corrections) in eV per cell: -26.618

Cell: 4.554 4.554 8.175 Å, 90.00 90.00 120.00°
Sites, in units of the cell vectors:
1 Tm 0.000 0.000 0.500
2 Au 0.333 0.667 0.318
3 Au 0.667 0.333 0.682
4 Ba 0.000 0.000 0.000
5 Ge 0.333 0.667 0.714
6 Ge 0.667 0.333 0.286

The following is a GGA-PBE calculation of a relaxed structure of BaVGeAu2, from Alexandria.

Space-group type: P4/mmm, No. 123
Calculated formation energy in eV per atom: 0.67
Total DFT energy (no corrections) in eV per cell: -18.851

Cell: 5.009 5.009 5.973 Å, 90.00 90.00 90.00°
Last column: magnetic moment on the atom in μB.
Sites, in units of the cell vectors:
1 Ge 0.500 0.500 0.500  -0.29
2 Au 0.000 0.500 0.000  0.06
3 Au 0.500 0.000 0.000  0.06
4 Ba 0.000 0.000 0.500  0.06
5 V 0.000 0.000 0.000  2.46

The following is a GGA-PBE calculation of a relaxed structure of BaY2GeAu, from Alexandria.

Space-group type: P4/mmm, No. 123
Calculated formation energy in eV per atom: -0.08
Total DFT energy (no corrections) in eV per cell: -23.154

Cell: 5.406 6.367 5.406 Å, 90.00 90.00 90.00°
Sites, in units of the cell vectors:
1 Y 0.000 0.000 0.500
2 Y 0.500 0.000 0.000
3 Au 0.500 0.500 0.500
4 Ge 0.000 0.000 0.000
5 Ba 0.000 0.500 0.000

The following is a GGA-PBE calculation of a relaxed structure of Ba2ZnGe4Au3, from Alexandria.

Space-group type: P-4m2, No. 115
Calculated formation energy in eV per atom: -0.48
Total DFT energy (no corrections) in eV per cell: -38.229

Cell: 4.623 4.623 10.869 Å, 90.00 90.00 90.00°
Sites, in units of the cell vectors:
1 Au 0.000 0.000 0.500
2 Au 0.500 0.000 0.873
3 Au 0.000 0.500 0.127
4 Ba 0.500 0.000 0.252
5 Ba 0.000 0.500 0.748
6 Ge 0.500 0.500 0.000
7 Ge 0.000 0.500 0.371
8 Ge 0.500 0.000 0.629
9 Ge 0.000 0.000 0.000
10 Zn 0.500 0.500 0.500